# Pr3NdY7

Pr3NdY7 after structural relaxation (PBE-GGA, Alexandria via LeMat-Bulk).

The structure in extended XYZ format:
```
11
Lattice="7.024 0.000 0.000 0.000 5.600 0.000 -3.463 0.000 9.596" Properties=species:S:1:pos:R:3 pbc="T T T"
Pr 0.000 0.000 0.000
Pr 0.256 2.800 4.788
Pr 3.304 2.800 4.808
Nd 3.512 0.000 0.000
Y -1.732 0.000 4.798
Y -1.711 2.800 7.553
Y 1.767 2.800 1.308
Y 1.790 0.000 3.163
Y 1.771 0.000 6.433
Y 1.794 2.800 8.287
Y 5.271 2.800 2.042
```

D(E_F)	17.26	states/eV/cell
distance to the lowest polymorph of the same formula	0.00	eV per formula unit
energy of formation	139	meV/atom
space group	No. 10